1.
First-principles (PBE) data for ReHN after structural relaxation, as listed in the Alexandria database.

a = 2.737 Å, b = 5.053 Å, c = 8.086 Å
α = 90.00°, β = 90.00°, γ = 90.00°
Element x y z (fractional)
H1 0.750 0.739 0.061
H2 0.250 0.261 0.939
N1 0.750 0.158 0.694
Re1 0.250 0.470 0.655
N2 0.250 0.342 0.194
N3 0.750 0.658 0.806
Re2 0.250 0.970 0.845
Re3 0.750 0.530 0.345
Re4 0.750 0.030 0.155
H3 0.750 0.239 0.439
H4 0.250 0.761 0.561
N4 0.250 0.842 0.306

Values from the calculation:
crystal system = orthorhombic
electronic total energy = -91.647 eV per cell
polymorph energy (0 for the lowest one) = 0.68 eV per formula unit
size of the total moment = 0.000 μB/f.u.


2.
First-principles (PBE) data for Nb3SiBi after structural relaxation, as listed in the Alexandria database.

a = 4.745 Å, b = 4.745 Å, c = 4.745 Å
α = 90.00°, β = 90.00°, γ = 90.00°
Element x y z (fractional)
Si1 0.000 0.000 0.000
Nb1 0.500 0.000 0.000
Bi1 0.500 0.500 0.500
Nb2 0.000 0.500 0.000
Nb3 0.000 0.000 0.500

Values from the calculation:
crystal system = cubic
electronic total energy = -36.662 eV per cell
polymorph energy (0 for the lowest one) = 0.00 eV per formula unit
size of the total moment = 0.000 μB/f.u.


3.
First-principles (PBE) data for Ac2La5SmY after structural relaxation, as listed in the Alexandria database.

a = 5.692 Å, b = 11.749 Å, c = 10.632 Å
α = 90.00°, β = 90.00°, γ = 104.02°
Element x y z (fractional)
La1 0.723 0.446 0.818
La2 0.500 0.000 0.758
La3 0.723 0.446 0.198
La4 0.378 0.756 0.008
La5 0.277 0.554 0.698
Y1 0.603 0.206 0.008
La6 0.622 0.244 0.508
La7 0.277 0.554 0.318
Sm1 0.216 0.431 0.008
Y2 0.397 0.794 0.508
Sm2 0.784 0.569 0.508
La8 0.500 0.000 0.258
La9 0.996 0.993 0.508
Ac1 0.885 0.770 0.245
Ac2 0.115 0.230 0.745
Ac3 0.885 0.769 0.771
La10 0.004 0.007 0.008
Ac4 0.115 0.231 0.271

Values from the calculation:
crystal system = orthorhombic
electronic total energy = -86.270 eV per cell
size of the total moment = 0.000 μB/f.u.


4.
First-principles (PBE) data for AcTb2Ce after structural relaxation, as listed in the Alexandria database.

a = 3.675 Å, b = 3.675 Å, c = 10.155 Å
α = 90.00°, β = 90.00°, γ = 90.00°
Site moments in Bohr magnetons follow the coordinates.
Element x y z (fractional)
Ce1 0.500 0.500 0.000  0.52
Ac1 0.500 0.500 0.500  0.00
Tb1 0.000 0.000 0.229  0.00
Tb2 0.000 0.000 0.771  0.00

Values from the calculation:
crystal system = tetragonal
electronic total energy = -18.946 eV per cell
polymorph energy (0 for the lowest one) = 0.00 eV per formula unit
size of the total moment = 0.584 μB/f.u.


5.
First-principles (PBE) data for TaIr2Pt after structural relaxation, as listed in the Alexandria database.

a = 2.803 Å, b = 2.803 Å, c = 7.957 Å
α = 90.00°, β = 90.00°, γ = 90.01°
Element x y z (fractional)
Ir1 0.000 0.000 0.503
Ta1 0.500 0.500 0.750
Pt1 0.500 0.500 0.250
Ir2 0.000 0.000 0.997

Values from the calculation:
crystal system = tetragonal
electronic total energy = -36.778 eV per cell
polymorph energy (0 for the lowest one) = 1.43 eV per formula unit
size of the total moment = 0.000 μB/f.u.


> Which formula does entry 5 have?

TaIr2Pt


> What is the size of the total moment in the first record?

0.000 μB/f.u.